# 1
HfMg2IF, relaxed, DFT PBE; total magnetization = 0.00 μB per formula unit; calculated total energy = -2.8163 eV/atom; SG = P4/mmm
1.0
5.720 0.000 0.000
0.000 5.720 0.000
0.000 0.000 4.332
Hf Mg I F
1 2 1 1
Cartesian
0.000 0.000 0.000
0.000 2.860 2.166
2.860 0.000 2.166
2.860 2.860 2.166
2.860 2.860 0.000



# 2
HfIN2F, relaxed, DFT PBE; total magnetization = 0.27 μB per formula unit; relative energy among the computed polymorphs = 1952 meV/atom; calculated total energy = -4.4661 eV/atom; SG = P4/mmm
1.0
4.258 0.000 0.000
0.000 4.258 0.000
0.000 0.000 4.029
Hf I N F
1 1 2 1
Cartesian
0.000 0.000 0.000
2.129 2.129 0.000
0.000 2.129 2.014
2.129 0.000 2.014
2.129 2.129 2.014



# 3
Hf2INF, relaxed, DFT PBE; total magnetization = 0.00 μB per formula unit; calculated total energy = -6.9782 eV/atom; SG = P4/mmm
1.0
4.280 0.000 0.000
0.000 4.280 0.000
0.000 0.000 5.099
Hf I N F
2 1 1 1
Cartesian
0.000 2.140 0.000
2.140 0.000 0.000
0.000 0.000 2.550
2.140 2.140 0.000
2.140 2.140 2.550



# 4
HfIN2F, relaxed, DFT PBE; total magnetization = 0.00 μB per formula unit; relative energy among the computed polymorphs = 657 meV/atom; calculated total energy = -5.7612 eV/atom; SG = P4/mmm
1.0
4.067 0.000 0.000
0.000 4.067 0.000
0.000 0.000 6.073
Hf I N F
1 1 2 1
Cartesian
0.000 0.000 0.000
0.000 0.000 3.037
0.000 2.034 0.000
2.034 0.000 0.000
2.034 2.034 3.037



# 5
HfIN2F, relaxed, DFT PBE; total magnetization = 0.00 μB per formula unit; relative energy among the computed polymorphs = 1647 meV/atom; calculated total energy = -4.7711 eV/atom; SG = P4/mmm
1.0
4.214 0.000 0.000
0.000 4.214 0.000
0.000 0.000 4.365
Hf I N F
1 1 2 1
Cartesian
0.000 0.000 0.000
2.107 2.107 2.183
0.000 2.107 2.183
2.107 0.000 2.183
2.107 2.107 0.000



# 6
HfIN2F, relaxed, DFT PBE; total magnetization = 0.00 μB per formula unit; relative energy among the computed polymorphs = 0 meV/atom; calculated total energy = -6.4178 eV/atom; SG = P4/mmm
1.0
4.346 0.000 0.000
0.000 4.346 0.000
0.000 0.000 4.084
Hf I N F
1 1 2 1
Cartesian
0.000 0.000 0.000
2.173 2.173 2.042
0.000 2.173 0.000
2.173 0.000 0.000
0.000 0.000 2.042



# 7
HfI2OF, relaxed, DFT PBE; total magnetization = 0.00 μB per formula unit; relative energy among the computed polymorphs = 1647 meV/atom; calculated total energy = -3.5878 eV/atom; SG = P4/mmm
1.0
5.306 0.000 0.000
0.000 5.306 0.000
0.000 0.000 3.606
Hf I O F
1 2 1 1
Cartesian
0.000 0.000 0.000
0.000 2.653 1.803
2.653 0.000 1.803
2.653 2.653 0.000
2.653 2.653 1.803



# 8
HfI2OF, relaxed, DFT PBE; total magnetization = 0.98 μB per formula unit; relative energy among the computed polymorphs = 0 meV/atom; calculated total energy = -5.2353 eV/atom; SG = P4/mmm
1.0
5.751 0.000 0.000
0.000 5.751 0.000
0.000 0.000 3.940
Hf I O F
1 2 1 1
Cartesian
0.000 0.000 0.000
0.000 2.876 0.000
2.876 0.000 0.000
0.000 0.000 1.970
2.876 2.876 1.970



# 9
Hf2PdIF, relaxed, DFT PBE; total magnetization = 0.00 μB per formula unit; calculated total energy = -5.9722 eV/atom; SG = P4/mmm
1.0
4.345 0.000 0.000
0.000 4.345 0.000
0.000 0.000 5.271
Hf Pd I F
2 1 1 1
Cartesian
0.000 2.173 0.000
2.173 0.000 0.000
0.000 0.000 2.635
2.173 2.173 2.635
2.173 2.173 0.000



# 10
HfSbI2F, relaxed, DFT PBE; total magnetization = 0.00 μB per formula unit; relative energy among the computed polymorphs = 363 meV/atom; calculated total energy = -3.7402 eV/atom; SG = P4/mmm
1.0
5.588 0.000 0.000
0.000 5.588 0.000
0.000 0.000 4.249
Hf Sb I F
1 1 2 1
Cartesian
0.000 0.000 0.000
2.794 2.794 0.000
0.000 2.794 2.125
2.794 0.000 2.125
2.794 2.794 2.125



# 11
HfSbI2F, relaxed, DFT PBE; total magnetization = 0.50 μB per formula unit; relative energy among the computed polymorphs = 0 meV/atom; calculated total energy = -4.1036 eV/atom; SG = P4/mmm
1.0
5.545 0.000 0.000
0.000 5.545 0.000
0.000 0.000 5.638
Hf Sb I F
1 1 2 1
Cartesian
0.000 0.000 0.000
0.000 0.000 2.819
0.000 2.772 0.000
2.772 0.000 0.000
2.772 2.772 2.819



# 12
Hf2ScIF, relaxed, DFT PBE; total magnetization = 0.00 μB per formula unit; calculated total energy = -6.1780 eV/atom; SG = P4/mmm
1.0
4.499 0.000 0.000
0.000 4.499 0.000
0.000 0.000 4.928
Hf Sc I F
2 1 1 1
Cartesian
0.000 2.249 0.000
2.249 0.000 0.000
0.000 0.000 2.464
2.249 2.249 2.464
0.000 0.000 0.000